Compound: Tb4SbTe3
Source: the Alexandria database
Functional: PBE-GGA
Structure: relaxed

## Properties
Energy relative to the elements, uncorrected   -1.300 eV per atom

Cell lengths 4.371, 7.595, 7.595 Å; angles 109.27, 90.00, 90.00 degrees
Element x y z (fractional)
Sb: 0.500 0.000 0.000
Te: 0.500 0.500 0.500
Tb: 0.500 0.755 0.245
Te: 0.000 0.000 0.500
Tb: 0.000 0.241 0.241
Tb: 0.000 0.759 0.759
Tb: 0.500 0.245 0.755
Te: 0.000 0.500 0.000

Compound: Tb4SbTe2
Source: the Alexandria database
Functional: PBE-GGA
Structure: relaxed

## Properties
Energy relative to the elements, uncorrected   -1.009 eV per atom

Cell lengths 4.214, 7.276, 14.566 Å; angles 90.00, 90.00, 106.83 degrees
Element x y z (fractional)
Te: 0.144 0.287 0.061
Te: 0.144 0.287 0.439
Tb: 0.500 0.000 0.500
Tb: 0.214 0.428 0.632
Tb: 0.935 0.869 0.750
Sb: 0.406 0.811 0.250
Te: 0.856 0.713 0.939
Tb: 0.786 0.572 0.132
Sb: 0.594 0.189 0.750
Tb: 0.786 0.572 0.368
Tb: 0.500 0.000 0.000
Tb: 0.214 0.428 0.868
Tb: 0.065 0.131 0.250
Te: 0.856 0.713 0.561

Compound: Tb4Sb2Te
Source: the Alexandria database
Functional: PBE-GGA
Structure: relaxed

## Properties
Energy relative to the elements, uncorrected   -1.050 eV per atom
ΔE to the lowest computed polymorph   0.0000 eV per atom

Cell lengths 7.979, 7.979, 7.979 Å; angles 109.60, 109.22, 109.60 degrees
Element x y z (fractional)
Sb: 0.375 0.876 0.751
Te: 0.750 0.500 0.250
Tb: 0.622 0.749 0.517
Tb: 0.267 0.249 0.872
Tb: 0.769 0.251 0.873
Tb: 0.483 0.105 0.231
Tb: 0.128 0.395 0.377
Tb: 0.127 0.895 0.378
Tb: 0.623 0.751 0.019
Sb: 0.875 0.124 0.499
Sb: 0.501 0.376 0.625
Sb: 0.249 0.624 0.125
Te: 0.000 0.000 0.000
Tb: 0.981 0.605 0.733

Compound: Tb2SbTe
Source: the Alexandria database
Functional: PBE-GGA
Structure: relaxed

## Properties
Energy relative to the elements, uncorrected   -1.272 eV per atom
ΔE to the lowest computed polymorph   0.0034 eV per atom

Cell lengths 6.198, 6.198, 12.462 Å; angles 89.97, 90.00, 90.00 degrees
Element x y z (fractional)
Tb: 0.250 0.500 0.370
Te: 0.750 0.000 0.125
Tb: 0.750 0.000 0.381
Te: 0.250 0.000 0.875
Sb: 0.750 0.500 0.875
Tb: 0.250 0.000 0.619
Sb: 0.750 0.000 0.625
Tb: 0.250 0.500 0.881
Te: 0.250 0.500 0.625
Te: 0.750 0.500 0.375
Sb: 0.250 0.500 0.125
Tb: 0.750 0.500 0.630
Tb: 0.750 0.500 0.119
Tb: 0.750 0.000 0.870
Sb: 0.250 0.000 0.375
Tb: 0.250 0.000 0.130

Compound: Tb5Sb2Te
Source: the Alexandria database
Functional: PBE-GGA
Structure: relaxed

## Properties
Energy relative to the elements, uncorrected   -0.651 eV per atom

Cell lengths 6.091, 7.056, 13.660 Å; angles 90.00, 90.00, 115.57 degrees
Element x y z (fractional)
Tb: 0.948 0.895 0.887
Sb: 0.817 0.634 0.422
Tb: 0.375 0.749 0.062
Sb: 0.183 0.366 0.578
Sb: 0.817 0.634 0.078
Tb: 0.625 0.251 0.938
Tb: 0.339 0.677 0.750
Sb: 0.183 0.366 0.922
Tb: 0.052 0.105 0.387
Te: 0.759 0.518 0.750
Tb: 0.661 0.323 0.250
Tb: 0.948 0.895 0.613
Tb: 0.052 0.105 0.113
Tb: 0.375 0.749 0.438
Te: 0.241 0.482 0.250
Tb: 0.625 0.251 0.562

Compound: TbSbTe4
Source: the Alexandria database
Functional: PBE-GGA
Structure: relaxed

## Properties
Energy relative to the elements, uncorrected   -0.474 eV per atom

Cell lengths 6.205, 8.001, 10.349 Å; angles 90.00, 90.00, 105.56 degrees
Element x y z (fractional)
Te: 0.041 0.349 0.557
Sb: 0.254 0.941 0.250
Te: 0.809 0.954 0.250
Te: 0.450 0.306 0.250
Te: 0.959 0.651 0.057
Te: 0.191 0.046 0.750
Sb: 0.746 0.059 0.750
Te: 0.550 0.694 0.750
Tb: 0.034 0.648 0.750
Te: 0.959 0.651 0.443
Tb: 0.966 0.352 0.250
Te: 0.041 0.349 0.943

Compound: TbSbTe2
Source: the Alexandria database
Functional: PBE-GGA
Structure: relaxed

## Properties
Energy relative to the elements, uncorrected   -0.090 eV per atom

Cell lengths 4.203, 4.203, 10.016 Å; angles 77.89, 77.89, 60.00 degrees
Element x y z (fractional)
Sb: 0.500 0.500 0.500
Tb: 0.000 0.000 0.000
Te: 0.103 0.103 0.690
Te: 0.897 0.897 0.310

Compound: Tb6Sb5Te
Source: the Alexandria database
Functional: PBE-GGA
Structure: relaxed

## Properties
Energy relative to the elements, uncorrected   -1.212 eV per atom

Cell lengths 7.617, 7.618, 7.615 Å; angles 59.99, 80.41, 70.55 degrees
Element x y z (fractional)
Sb: 0.000 0.667 0.666
Tb: 0.748 0.746 0.000
Tb: 0.747 0.423 0.662
Tb: 0.253 0.577 0.338
Sb: 0.000 0.333 0.334
Tb: 0.253 0.915 0.662
Te: 0.000 0.000 0.000
Sb: 0.500 0.165 0.670
Tb: 0.747 0.085 0.338
Tb: 0.252 0.254 0.000
Sb: 0.500 0.500 0.000
Sb: 0.500 0.835 0.330